Record 1
Crystalline Sc6GeP2S3 at its relaxed geometry. Source: Alexandria via LeMat-Bulk, functional PBE.

Output
DFT total energy	-7.0918	eV per atom
energy relative to the elements, uncorrected	-19.3	eV per formula unit
total magnetization	0.0	μB/f.u.

a b c (Å): 8.406 8.406 7.531
angles (deg): 103.22 103.22 25.75
Atoms (fractional coordinates):
Sc  0.001  0.001  0.253
Sc  0.330  0.330  0.422
Sc  0.333  0.333  0.911
Sc  0.667  0.667  0.089
Sc  0.670  0.670  0.578
Sc  0.999  0.999  0.747
Ge  0.500  0.500  0.000
P  0.167  0.167  0.334
P  0.833  0.833  0.666
S  0.167  0.167  0.832
S  0.500  0.500  0.500
S  0.833  0.833  0.168

Record 2
Crystalline Sc6Ge2PS3 at its relaxed geometry. Source: Alexandria via LeMat-Bulk, functional PBE.

Output
DFT total energy	-6.8947	eV per atom
energy relative to the elements, uncorrected	-17.7	eV per formula unit
total magnetization	0.0	μB/f.u.

a b c (Å): 8.468 8.468 7.592
angles (deg): 103.40 103.40 25.71
Atoms (fractional coordinates):
Sc  0.001  0.001  0.244
Sc  0.335  0.335  0.415
Sc  0.336  0.336  0.918
Sc  0.664  0.664  0.082
Sc  0.665  0.665  0.585
Sc  0.999  0.999  0.756
Ge  0.167  0.167  0.334
Ge  0.833  0.833  0.666
P  0.500  0.500  0.000
S  0.166  0.166  0.835
S  0.500  0.500  0.500
S  0.834  0.834  0.165

Record 3
Crystalline GeP2SeS at its relaxed geometry. Source: Alexandria via LeMat-Bulk, functional PBE.

Output
DFT total energy	-3.6539	eV per atom
energy above the most stable polymorph in this dataset	0	meV per atom
energy relative to the elements, uncorrected	4.8	eV per formula unit
total magnetization	0.0	μB/f.u.

a b c (Å): 4.796 4.796 4.530
angles (deg): 90.00 90.00 90.00
Atoms (fractional coordinates):
Ge  0.000  0.000  0.000
P  0.000  0.500  0.000
P  0.500  0.000  0.000
Se  0.500  0.500  0.500
S  0.000  0.000  0.500

Record 4
Crystalline Sm6Ge2PS3 at its relaxed geometry. Source: Alexandria via LeMat-Bulk, functional PBE.

Output
DFT total energy	-6.2115	eV per atom
energy relative to the elements, uncorrected	-19.2	eV per formula unit
total magnetization	0.0	μB/f.u.

a b c (Å): 9.203 9.203 8.234
angles (deg): 102.69 102.69 25.91
Atoms (fractional coordinates):
Sm  0.001  0.001  0.245
Sm  0.334  0.334  0.417
Sm  0.335  0.335  0.917
Sm  0.665  0.665  0.083
Sm  0.666  0.666  0.583
Sm  0.999  0.999  0.755
Ge  0.166  0.166  0.332
Ge  0.834  0.834  0.668
P  0.500  0.500  0.000
S  0.166  0.166  0.834
S  0.500  0.500  0.500
S  0.834  0.834  0.166

Record 5
Crystalline Sm8Ge3PS4 at its relaxed geometry. Source: Alexandria via LeMat-Bulk, functional PBE.

Output
DFT total energy	-6.1602	eV per atom
energy relative to the elements, uncorrected	-25.0	eV per formula unit
total magnetization	0.0	μB/f.u.

a b c (Å): 8.248 8.248 8.248
angles (deg): 60.09 60.09 60.09
Atoms (fractional coordinates):
Sm  0.248  0.248  0.751
Sm  0.248  0.751  0.248
Sm  0.249  0.249  0.249
Sm  0.249  0.752  0.752
Sm  0.751  0.248  0.248
Sm  0.751  0.751  0.751
Sm  0.752  0.249  0.752
Sm  0.752  0.752  0.249
Ge  0.000  0.500  0.500
Ge  0.500  0.000  0.500
Ge  0.500  0.500  0.000
P  0.000  0.000  0.000
S  0.000  0.000  0.500
S  0.000  0.500  0.000
S  0.500  0.000  0.000
S  0.500  0.500  0.500

Record 6
Crystalline SnGePS2 at its relaxed geometry. Source: Alexandria via LeMat-Bulk, functional PBE.

Output
DFT total energy	-4.1230	eV per atom
energy above the most stable polymorph in this dataset	0	meV per atom
energy relative to the elements, uncorrected	1.7	eV per formula unit
total magnetization	0.0	μB/f.u.

a b c (Å): 4.769 4.769 4.724
angles (deg): 90.00 90.00 90.00
Atoms (fractional coordinates):
Sn  0.000  0.000  0.000
Ge  0.500  0.500  0.500
P  0.500  0.500  0.000
S  0.000  0.500  0.500
S  0.500  0.000  0.500

Record 7
Crystalline Tb8GeP3S4 at its relaxed geometry. Source: Alexandria via LeMat-Bulk, functional PBE.

Output
DFT total energy	-6.4314	eV per atom
energy relative to the elements, uncorrected	-28.5	eV per formula unit
total magnetization	0.0	μB/f.u.

a b c (Å): 8.007 8.007 8.007
angles (deg): 60.09 60.09 60.09
Atoms (fractional coordinates):
Tb  0.246  0.749  0.749
Tb  0.247  0.247  0.247
Tb  0.251  0.251  0.754
Tb  0.251  0.754  0.251
Tb  0.749  0.246  0.749
Tb  0.749  0.749  0.246
Tb  0.753  0.753  0.753
Tb  0.754  0.251  0.251
Ge  0.500  0.500  0.500
P  0.000  0.000  0.500
P  0.000  0.500  0.000
P  0.500  0.000  0.000
S  0.000  0.000  0.000
S  0.000  0.500  0.500
S  0.500  0.000  0.500
S  0.500  0.500  0.000

Record 8
Crystalline Tb6GeP3S2 at its relaxed geometry. Source: Alexandria via LeMat-Bulk, functional PBE.

Output
DFT total energy	-6.4110	eV per atom
energy relative to the elements, uncorrected	-20.0	eV per formula unit
total magnetization	0.0	μB/f.u.

a b c (Å): 8.997 8.997 8.073
angles (deg): 102.90 102.90 25.78
Atoms (fractional coordinates):
Tb  0.000  0.000  0.246
Tb  0.000  0.000  0.754
Tb  0.332  0.332  0.421
Tb  0.335  0.335  0.911
Tb  0.665  0.665  0.089
Tb  0.668  0.668  0.579
Ge  0.500  0.500  0.500
P  0.168  0.168  0.332
P  0.500  0.500  0.000
P  0.832  0.832  0.668
S  0.169  0.169  0.838
S  0.831  0.831  0.162

Record 9
Crystalline Tb6Ge2P3S at its relaxed geometry. Source: Alexandria via LeMat-Bulk, functional PBE.

Output
DFT total energy	-6.1932	eV per atom
energy relative to the elements, uncorrected	-16.9	eV per formula unit
total magnetization	0.0	μB/f.u.

a b c (Å): 9.098 9.098 8.220
angles (deg): 103.28 103.28 25.39
Atoms (fractional coordinates):
Tb  0.001  0.001  0.247
Tb  0.333  0.333  0.425
Tb  0.336  0.336  0.908
Tb  0.664  0.664  0.092
Tb  0.667  0.667  0.575
Tb  0.999  0.999  0.753
Ge  0.166  0.166  0.833
Ge  0.834  0.834  0.167
P  0.165  0.165  0.335
P  0.500  0.500  0.000
P  0.835  0.835  0.665
S  0.500  0.500  0.500

Record 10
Crystalline Tb6Ge3PS2 at its relaxed geometry. Source: Alexandria via LeMat-Bulk, functional PBE.

Output
DFT total energy	-5.9722	eV per atom
energy relative to the elements, uncorrected	-16.4	eV per formula unit
total magnetization	0.0	μB/f.u.

a b c (Å): 9.171 9.171 8.218
angles (deg): 104.97 104.97 25.43
Atoms (fractional coordinates):
Tb  0.002  0.002  0.243
Tb  0.332  0.332  0.419
Tb  0.336  0.336  0.916
Tb  0.664  0.664  0.084
Tb  0.668  0.668  0.581
Tb  0.998  0.998  0.757
Ge  0.168  0.168  0.832
Ge  0.500  0.500  0.500
Ge  0.832  0.832  0.168
P  0.500  0.500  0.000
S  0.167  0.167  0.334
S  0.833  0.833  0.666

Record 11
Crystalline Tb4GePS2 at its relaxed geometry. Source: Alexandria via LeMat-Bulk, functional PBE.

Output
DFT total energy	-6.2822	eV per atom
energy relative to the elements, uncorrected	-13.5	eV per formula unit
total magnetization	0.0	μB/f.u.

a b c (Å): 6.963 4.032 6.983
angles (deg): 90.00 109.49 90.00
Atoms (fractional coordinates):
Tb  0.244  0.000  0.246
Tb  0.247  0.500  0.751
Tb  0.753  0.500  0.249
Tb  0.756  0.000  0.754
Ge  0.000  0.000  0.500
P  0.000  0.500  0.000
S  0.500  0.000  0.000
S  0.500  0.500  0.500

Record 12
Crystalline TcGeP2S at its relaxed geometry. Source: Alexandria via LeMat-Bulk, functional PBE.

Output
DFT total energy	-4.7397	eV per atom
energy above the most stable polymorph in this dataset	719	meV per atom
energy relative to the elements, uncorrected	6.2	eV per formula unit
total magnetization	2.7	μB/f.u.

a b c (Å): 4.646 4.646 4.615
angles (deg): 90.00 90.00 90.00
Atoms (fractional coordinates):
Tc  0.000  0.000  0.000
Ge  0.500  0.500  0.500
P  0.000  0.500  0.500
P  0.500  0.000  0.500
S  0.500  0.500  0.000

Record 13
Crystalline TcGeP2S at its relaxed geometry. Source: Alexandria via LeMat-Bulk, functional PBE.

Output
DFT total energy	-5.4589	eV per atom
energy above the most stable polymorph in this dataset	0	meV per atom
energy relative to the elements, uncorrected	2.6	eV per formula unit
total magnetization	0.0	μB/f.u.

a b c (Å): 4.459 4.459 5.265
angles (deg): 90.00 90.00 90.00
Atoms (fractional coordinates):
Tc  0.000  0.000  0.000
Ge  0.500  0.500  0.500
P  0.000  0.500  0.000
P  0.500  0.000  0.000
S  0.000  0.000  0.500

Record 14
Crystalline GeTeP2S at its relaxed geometry. Source: Alexandria via LeMat-Bulk, functional PBE.

Output
DFT total energy	-3.7921	eV per atom
energy above the most stable polymorph in this dataset	0	meV per atom
energy relative to the elements, uncorrected	3.7	eV per formula unit
total magnetization	0.0	μB/f.u.

a b c (Å): 4.793 4.793 4.605
angles (deg): 90.00 90.00 90.00
Atoms (fractional coordinates):
Ge  0.000  0.000  0.000
Te  0.500  0.500  0.500
P  0.000  0.500  0.000
P  0.500  0.000  0.000
S  0.000  0.000  0.500

Record 15
Crystalline Th8GeP4S3 at its relaxed geometry. Source: Alexandria via LeMat-Bulk, functional PBE.

Output
DFT total energy	-7.7105	eV per atom
energy relative to the elements, uncorrected	-25.4	eV per formula unit
total magnetization	0.0	μB/f.u.

a b c (Å): 8.265 8.265 8.265
angles (deg): 59.93 59.93 59.93
Atoms (fractional coordinates):
Th  0.248  0.248  0.248
Th  0.250  0.747  0.747
Th  0.253  0.253  0.750
Th  0.253  0.750  0.253
Th  0.747  0.250  0.747
Th  0.747  0.747  0.250
Th  0.750  0.253  0.253
Th  0.752  0.752  0.752
Ge  0.000  0.000  0.000
P  0.000  0.000  0.500
P  0.000  0.500  0.000
P  0.500  0.000  0.000
P  0.500  0.500  0.500
S  0.000  0.500  0.500
S  0.500  0.000  0.500
S  0.500  0.500  0.000

Record 16
Crystalline Th6Ge2PS3 at its relaxed geometry. Source: Alexandria via LeMat-Bulk, functional PBE.

Output
DFT total energy	-7.4137	eV per atom
energy relative to the elements, uncorrected	-17.4	eV per formula unit
total magnetization	0.0	μB/f.u.

a b c (Å): 9.247 9.247 8.237
angles (deg): 101.71 101.71 26.21
Atoms (fractional coordinates):
Th  0.002  0.002  0.254
Th  0.335  0.335  0.423
Th  0.335  0.335  0.912
Th  0.665  0.665  0.088
Th  0.665  0.665  0.577
Th  0.998  0.998  0.746
Ge  0.166  0.166  0.833
Ge  0.834  0.834  0.167
P  0.500  0.500  0.500
S  0.169  0.169  0.335
S  0.500  0.500  0.000
S  0.831  0.831  0.665

Record 17
Crystalline TiGePS2 at its relaxed geometry. Source: Alexandria via LeMat-Bulk, functional PBE.

Output
DFT total energy	-4.7379	eV per atom
energy above the most stable polymorph in this dataset	570	meV per atom
energy relative to the elements, uncorrected	2.5	eV per formula unit
total magnetization	0.0	μB/f.u.

a b c (Å): 4.616 4.616 4.647
angles (deg): 90.00 90.00 90.00
Atoms (fractional coordinates):
Ti  0.000  0.000  0.000
Ge  0.500  0.500  0.500
P  0.500  0.500  0.000
S  0.000  0.500  0.500
S  0.500  0.000  0.500

Record 18
Crystalline TiGeP2S at its relaxed geometry. Source: Alexandria via LeMat-Bulk, functional PBE.

Output
DFT total energy	-5.3206	eV per atom
energy above the most stable polymorph in this dataset	0	meV per atom
energy relative to the elements, uncorrected	0.9	eV per formula unit
total magnetization	0.0	μB/f.u.

a b c (Å): 4.758 4.758 4.613
angles (deg): 90.00 90.00 90.00
Atoms (fractional coordinates):
Ti  0.000  0.000  0.000
Ge  0.500  0.500  0.500
P  0.000  0.500  0.000
P  0.500  0.000  0.000
S  0.000  0.000  0.500

Record 19
Crystalline TiGePS2 at its relaxed geometry. Source: Alexandria via LeMat-Bulk, functional PBE.

Output
DFT total energy	-5.3081	eV per atom
energy above the most stable polymorph in this dataset	0	meV per atom
energy relative to the elements, uncorrected	-0.4	eV per formula unit
total magnetization	0.0	μB/f.u.

a b c (Å): 4.660 4.660 4.822
angles (deg): 90.00 90.00 90.00
Atoms (fractional coordinates):
Ti  0.000  0.000  0.000
Ge  0.500  0.500  0.500
P  0.000  0.000  0.500
S  0.000  0.500  0.000
S  0.500  0.000  0.000

Record 20
Crystalline TiGeP2S at its relaxed geometry. Source: Alexandria via LeMat-Bulk, functional PBE.

Output
DFT total energy	-4.7936	eV per atom
energy above the most stable polymorph in this dataset	527	meV per atom
energy relative to the elements, uncorrected	3.5	eV per formula unit
total magnetization	0.0	μB/f.u.

a b c (Å): 4.607 4.607 4.655
angles (deg): 90.00 90.00 90.00
Atoms (fractional coordinates):
Ti  0.000  0.000  0.000
Ge  0.500  0.500  0.500
P  0.000  0.500  0.500
P  0.500  0.000  0.500
S  0.500  0.500  0.000

Record 21
Crystalline TlGeP2S at its relaxed geometry. Source: Alexandria via LeMat-Bulk, functional PBE.

Output
DFT total energy	-3.7999	eV per atom
energy above the most stable polymorph in this dataset	0	meV per atom
energy relative to the elements, uncorrected	2.9	eV per formula unit
total magnetization	0.7	μB/f.u.

a b c (Å): 4.816 4.816 4.879
angles (deg): 90.00 90.00 90.00
Atoms (fractional coordinates):
Tl  0.000  0.000  0.000
Ge  0.500  0.500  0.500
P  0.000  0.500  0.500
P  0.500  0.000  0.500
S  0.500  0.500  0.000

Record 22
Crystalline Tm6Ge3P2S at its relaxed geometry. Source: Alexandria via LeMat-Bulk, functional PBE.

Output
DFT total energy	-5.8702	eV per atom
energy relative to the elements, uncorrected	-14.8	eV per formula unit
total magnetization	0.0	μB/f.u.

a b c (Å): 9.087 9.087 8.234
angles (deg): 106.77 106.77 24.71
Atoms (fractional coordinates):
Tm  0.003  0.003  0.246
Tm  0.330  0.330  0.426
Tm  0.336  0.336  0.906
Tm  0.664  0.664  0.094
Tm  0.670  0.670  0.574
Tm  0.997  0.997  0.754
Ge  0.166  0.166  0.834
Ge  0.500  0.500  0.500
Ge  0.834  0.834  0.166
P  0.166  0.166  0.332
P  0.834  0.834  0.668
S  0.500  0.500  0.000

Record 23
Crystalline Tm8Ge3PS4 at its relaxed geometry. Source: Alexandria via LeMat-Bulk, functional PBE.

Output
DFT total energy	-6.0021	eV per atom
energy relative to the elements, uncorrected	-24.5	eV per formula unit
total magnetization	0.0	μB/f.u.

a b c (Å): 7.933 7.933 7.933
angles (deg): 60.17 60.17 60.17
Atoms (fractional coordinates):
Tm  0.250  0.250  0.250
Tm  0.250  0.747  0.747
Tm  0.253  0.253  0.750
Tm  0.253  0.750  0.253
Tm  0.747  0.250  0.747
Tm  0.747  0.747  0.250
Tm  0.750  0.253  0.253
Tm  0.750  0.750  0.750
Ge  0.000  0.000  0.500
Ge  0.000  0.500  0.000
Ge  0.500  0.000  0.000
P  0.500  0.500  0.500
S  0.000  0.000  0.000
S  0.000  0.500  0.500
S  0.500  0.000  0.500
S  0.500  0.500  0.000